Entry 1:
This record from the Alexandria database describes a geometry-optimized CaZnP3 structure. The functional is PBEsol.

Results
Its density of states at the Fermi level is 0.5890 states/eV/atom. The calculated formation energy is 1.220 eV per atom.

```
5
Lattice="5.060 0.000 0.000 0.000 5.060 0.000 0.000 0.000 5.060" Properties=species:S:1:pos:R:3 pbc="T T T"
P 2.530 0.000 0.000
P 0.000 0.000 2.530
P 0.000 2.530 0.000
Zn 2.530 2.530 2.530
Ca 0.000 0.000 0.000
```

Entry 2:
This record from the Alexandria database describes a geometry-optimized Ca2ZnP structure. The functional is PBEsol.

Results
Its density of states at the Fermi level is 0.4243 states/eV/atom. The calculated formation energy is -0.613 eV per atom.

```
4
Lattice="3.511 0.000 0.000 0.000 3.728 0.000 0.000 0.000 6.688" Properties=species:S:1:pos:R:3 pbc="T T T"
P 1.756 1.864 0.000
Ca 0.000 0.000 1.515
Ca 0.000 0.000 5.173
Zn 1.756 1.864 3.344
```

Entry 3:
This record from the Alexandria database describes a geometry-optimized Ca9Zn4P9 structure. The functional is PBEsol.

Results
Its density of states at the Fermi level is 0.2778 states/eV/atom. The calculated formation energy is -0.971 eV per atom.

```
44
Lattice="-2.739 -2.785 -1.137 0.593 -4.759 10.227 -14.840 11.969 6.430" Properties=species:S:1:pos:R:3 pbc="T T T"
P -14.358 8.591 13.539
P -3.283 -3.330 8.785
P -1.369 -1.392 -0.569
P -10.778 3.255 10.709
P -3.359 -1.808 5.242
P -8.493 2.213 7.760
P -2.858 1.726 2.656
P -6.209 1.170 4.811
P -10.142 6.618 8.219
P -7.372 5.098 5.271
P -4.105 0.592 8.438
P -11.390 5.484 14.001
P -13.627 6.234 10.278
P -13.704 7.756 6.735
P -6.876 2.113 11.386
P -5.944 -1.864 11.604
P 0.110 -1.381 3.117
P -11.042 6.290 3.916
Ca -10.237 4.618 6.070
Ca -1.073 -3.772 4.545
Ca -8.789 4.592 2.646
Ca -5.365 3.727 3.794
Ca -3.306 -1.131 10.731
Ca -3.359 1.053 5.512
Ca -14.149 5.633 13.007
Ca -1.593 -1.456 7.401
Ca -8.883 3.483 12.863
Ca -6.749 -0.192 9.449
Ca -0.810 -3.442 10.381
Ca -10.888 6.157 11.144
Ca -12.655 8.666 9.256
Ca -2.837 -1.207 2.513
Ca -8.476 4.510 9.367
Ca -10.942 8.341 5.926
Ca -13.437 10.653 6.275
Ca -5.772 2.700 7.289
Zn -15.465 9.057 7.790
Zn -8.983 1.689 10.223
Zn -8.003 2.737 5.296
Zn -12.443 5.950 8.120
Zn -4.544 -1.525 7.400
Zn -5.166 1.118 2.428
Zn -11.820 3.308 13.091
Zn -1.521 -4.632 7.730
```

Entry 4:
This record from the Alexandria database describes a geometry-optimized Ca2ZnP structure. The functional is PBEsol.

Results
Its density of states at the Fermi level is 0.4444 states/eV/atom. The calculated formation energy is -0.559 eV per atom.

```
4
Lattice="4.248 0.000 0.000 2.124 3.679 0.000 2.124 1.226 6.743" Properties=species:S:1:pos:R:3 pbc="T T T"
Zn 0.000 0.000 0.000
Ca 2.124 1.226 1.977
Ca 6.373 3.679 4.767
P 4.248 2.453 3.372
```

Entry 5:
This record from the Alexandria database describes a geometry-optimized Ca2ZnP structure. The functional is PBEsol.

Results
Its density of states at the Fermi level is 0.2561 states/eV/atom. The calculated formation energy is -0.738 eV per atom.

```
4
Lattice="4.014 0.000 0.000 0.000 4.186 0.000 0.000 -2.093 5.399" Properties=species:S:1:pos:R:3 pbc="T T T"
P 0.000 2.093 3.496
Zn 2.007 2.093 1.942
Ca 2.007 0.000 4.199
Ca 0.000 0.000 1.165
```

Entry 6:
This record from the Alexandria database describes a geometry-optimized CaZn2P2 structure. The functional is PBEsol.

Results
The calculated formation energy is -0.704 eV per atom.

```
5
Lattice="-0.560 -0.170 3.941 2.766 -2.294 -1.720 4.568 4.864 0.859" Properties=species:S:1:pos:R:3 pbc="T T T"
P 3.923 2.714 2.688
P 2.852 -0.315 0.392
Zn 2.224 0.905 2.369
Zn 4.551 1.494 0.711
Ca 0.000 0.000 0.000
```

Entry 7:
This record from the Alexandria database describes a geometry-optimized CaZnP structure. The functional is PBEsol.

Results
The calculated formation energy is -0.775 eV per atom.

```
6
Lattice="4.037 0.000 0.000 -2.019 4.862 0.005 0.000 -1.196 6.268" Properties=species:S:1:pos:R:3 pbc="T T T"
P 0.000 0.813 4.708
P 2.019 2.854 1.565
Ca 0.000 0.818 1.828
Ca 2.019 2.848 4.445
Zn 0.000 3.655 0.421
Zn 2.019 0.012 5.852
```

Entry 8:
This record from the Alexandria database describes a geometry-optimized CaZnP4 structure. The functional is PBEsol.

Results
Its density of states at the Fermi level is 0.4359 states/eV/atom. The calculated formation energy is -0.018 eV per atom.

```
6
Lattice="-1.723 -1.962 4.540 -3.592 -3.812 0.010 1.340 -4.857 1.430" Properties=species:S:1:pos:R:3 pbc="T T T"
P -0.912 -6.329 2.960
P -3.185 -5.847 2.306
P -2.324 -4.995 4.393
P -1.530 -4.091 2.301
Zn -2.981 -7.973 4.485
Ca 0.000 0.000 0.000
```

Entry 9:
This record from the Alexandria database describes a geometry-optimized Ca2ZrP structure. The functional is PBEsol.

Results
Its density of states at the Fermi level is 1.0192 states/eV/atom. The calculated formation energy is -0.376 eV per atom.

```
4
Lattice="3.585 0.000 0.000 0.000 5.219 0.000 -1.793 -2.610 5.492" Properties=species:S:1:pos:R:3 pbc="T T T"
Ca 1.793 2.610 5.431
Ca 1.793 0.000 3.382
P 1.793 2.610 0.187
Zr 0.000 2.610 1.984
```

Entry 10:
This record from the Alexandria database describes a geometry-optimized CaZrP2 structure. The functional is PBEsol.

Results
Its density of states at the Fermi level is 0.0144 states/eV/atom. The calculated formation energy is -0.841 eV per atom.

```
8
Lattice="-0.524 -3.407 -5.243 -2.818 -2.686 4.921 -5.948 -0.608 -1.903" Properties=species:S:1:pos:R:3 pbc="T T T"
P -6.289 -2.923 3.106
P -4.083 -3.699 -0.365
P -5.990 -2.484 -3.567
P -2.219 -4.299 -3.625
Ca -4.383 -1.647 1.509
Ca -6.837 -4.175 -0.358
Zr 0.000 0.000 0.000
Zr -2.454 -2.527 -1.867
```

Entry 11:
This record from the Alexandria database describes a geometry-optimized CaZrP2 structure. The functional is PBEsol.

Results
Its density of states at the Fermi level is 0.2009 states/eV/atom. The calculated formation energy is -1.030 eV per atom.

```
4
Lattice="3.454 0.000 0.000 0.000 3.592 0.000 -1.727 -1.796 6.751" Properties=species:S:1:pos:R:3 pbc="T T T"
Zr 0.000 0.000 6.125
P 1.727 0.000 4.199
P 0.000 0.000 0.391
Ca 0.000 1.796 2.788
```

Entry 12:
This record from the Alexandria database describes a geometry-optimized Ca3ZrP structure. The functional is PBEsol.

Results
Its density of states at the Fermi level is 1.2839 states/eV/atom. The calculated formation energy is 0.057 eV per atom.

```
5
Lattice="-0.130 -4.243 3.406 -2.374 -3.021 -3.855 4.896 -1.578 -1.779" Properties=species:S:1:pos:R:3 pbc="T T T"
P 0.000 0.000 0.000
Ca -1.187 -1.511 -1.927
Ca -0.065 -2.122 1.703
Ca 2.448 -0.789 -0.889
Zr 1.196 -4.421 -1.114
```

Q: Among the records above, which one has the lowest calculated formation energy?
A: number 11